# ScUS2 (PBE, optimized geometry)
# total magnetization: 2.63 μB/f.u.
# density of states at the Fermi level: 8.28 states/eV/cell
# mass density: 7.475 g/cm³
# formation energy (no corrections): -1.547 eV per atom
data_ScUS2
_chemical_formula_sum 'Sc2 U2 S4'
_cell_length_a 3.6634
_cell_length_b 3.6634
_cell_length_c 13.2684
_cell_angle_alpha 90.00
_cell_angle_beta 90.00
_cell_angle_gamma 120.00
_space_group_name_H-M_alt 'P 63/m m c'
_space_group_IT_number 194
_space_group_name_Hall '-P 6c 2c'
loop_
_atom_site_label
_atom_site_type_symbol
_atom_site_fract_x
_atom_site_fract_y
_atom_site_fract_z
_atom_site_occupancy
Sc1 Sc 0.3333 0.6667 0.2500 1
U1 U 0.0000 0.0000 0.0000 1
S1 S 0.3333 0.6667 0.6321 1

# ScU5S6 (PBE, optimized geometry)
# total magnetization: 11.25 μB/f.u.
# density of states at the Fermi level: 38.13 states/eV/cell
# mass density: 9.908 g/cm³
# formation energy (no corrections): -1.448 eV per atom
data_ScU5S6
_chemical_formula_sum 'Sc2 U10 S12'
_cell_length_a 6.6819
_cell_length_b 11.5348
_cell_length_c 6.5938
_cell_angle_alpha 90.00
_cell_angle_beta 109.70
_cell_angle_gamma 90.00
_space_group_name_H-M_alt 'C 1 2/m 1'
_space_group_IT_number 12
_space_group_name_Hall '-C 2y'
loop_
_atom_site_label
_atom_site_type_symbol
_atom_site_fract_x
_atom_site_fract_y
_atom_site_fract_z
_atom_site_occupancy
Sc1 Sc 0.0000 0.0000 0.0000 1
U1 U 0.0000 0.1704 0.5000 1
U2 U 0.0000 0.3348 0.0000 1
U3 U 0.0000 0.5000 0.5000 1
S1 S 0.2398 0.0000 0.7516 1
S2 S 0.2416 0.1622 0.2412 1

# ScU6S8 (PBE, optimized geometry)
# total magnetization: 13.28 μB/f.u.
# density of states at the Fermi level: 139.18 states/eV/cell
# mass density: 8.961 g/cm³
# formation energy (no corrections): -1.453 eV per atom
data_ScU6S8
_chemical_formula_sum 'Sc4 U24 S32'
_cell_length_a 10.8636
_cell_length_b 10.8636
_cell_length_c 10.8636
_cell_angle_alpha 90.00
_cell_angle_beta 90.00
_cell_angle_gamma 90.00
_space_group_name_H-M_alt 'F m -3 m'
_space_group_IT_number 225
_space_group_name_Hall '-F 4 2 3'
loop_
_atom_site_label
_atom_site_type_symbol
_atom_site_fract_x
_atom_site_fract_y
_atom_site_fract_z
_atom_site_occupancy
Sc1 Sc 0.0000 0.0000 0.0000 1
U1 U 0.0000 0.2500 0.2500 1
S1 S 0.0000 0.0000 0.2459 1
S2 S 0.2500 0.2500 0.2500 1

# ScUS2 (PBE, optimized geometry)
# total magnetization: 1.63 μB/f.u.
# density of states at the Fermi level: 6.14 states/eV/cell
# mass density: 7.567 g/cm³
# formation energy (no corrections): -1.592 eV per atom
data_ScUS2
_chemical_formula_sum 'Sc1 U1 S2'
_cell_length_a 3.7837
_cell_length_b 3.7837
_cell_length_c 5.3206
_cell_angle_alpha 90.00
_cell_angle_beta 90.00
_cell_angle_gamma 90.00
_space_group_name_H-M_alt 'P 4/m m m'
_space_group_IT_number 123
_space_group_name_Hall '-P 4 2'
loop_
_atom_site_label
_atom_site_type_symbol
_atom_site_fract_x
_atom_site_fract_y
_atom_site_fract_z
_atom_site_occupancy
Sc1 Sc 0.0000 0.0000 0.0000 1
U1 U 0.5000 0.5000 0.5000 1
S1 S 0.0000 0.0000 0.5000 1
S2 S 0.5000 0.5000 0.0000 1

# Sc4US5 (PBE, optimized geometry)
# total magnetization: 2.49 μB/f.u.
# density of states at the Fermi level: 16.18 states/eV/cell
# mass density: 5.234 g/cm³
# formation energy (no corrections): -1.767 eV per atom
data_Sc4US5
_chemical_formula_sum 'Sc8 U2 S10'
_cell_length_a 3.6812
_cell_length_b 5.2750
_cell_length_c 18.8915
_cell_angle_alpha 90.00
_cell_angle_beta 90.00
_cell_angle_gamma 90.00
_space_group_name_H-M_alt 'I m m m'
_space_group_IT_number 71
_space_group_name_Hall '-I 2 2'
loop_
_atom_site_label
_atom_site_type_symbol
_atom_site_fract_x
_atom_site_fract_y
_atom_site_fract_z
_atom_site_occupancy
Sc1 Sc 0.0000 0.0000 0.0999 1
Sc2 Sc 0.0000 0.0000 0.3018 1
U1 U 0.0000 0.0000 0.5000 1
S1 S 0.0000 0.5000 0.1055 1
S2 S 0.0000 0.5000 0.2992 1
S3 S 0.0000 0.5000 0.5000 1

# Sc2U5S12 (PBE, optimized geometry)
# total magnetization: 12.00 μB/f.u.
# density of states at the Fermi level: 63.86 states/eV/cell
# mass density: 6.216 g/cm³
# formation energy (no corrections): -1.489 eV per atom
data_Sc2U5S12
_chemical_formula_sum 'Sc4 U10 S24'
_cell_length_a 15.1981
_cell_length_b 7.0706
_cell_length_c 8.6611
_cell_angle_alpha 90.00
_cell_angle_beta 107.11
_cell_angle_gamma 90.00
_space_group_name_H-M_alt 'C 1 2/m 1'
_space_group_IT_number 12
_space_group_name_Hall '-C 2y'
loop_
_atom_site_label
_atom_site_type_symbol
_atom_site_fract_x
_atom_site_fract_y
_atom_site_fract_z
_atom_site_occupancy
Sc1 Sc 0.0000 0.2474 0.0000 1
U1 U 0.0000 0.5000 0.5000 1
U2 U 0.1839 0.0000 0.8378 1
U3 U 0.1987 0.0000 0.3524 1
S1 S 0.0038 0.0000 0.2214 1
S2 S 0.0101 0.5000 0.8028 1
S3 S 0.1493 0.2504 0.5656 1
S4 S 0.1746 0.2384 0.0948 1